No. 1
4
Lattice="3.633 0.000 0.000 0.000 3.633 0.000 0.000 0.000 7.723" Properties=species:S:1:pos:R:3 comment="CaYAlHg | the Alexandria database | GGA-PBE | optimized geometry" e_above_lowest_polymorph_ev_per_atom=0.000 dos_at_fermi_per_ev_cell=1.73 pbc="T T T"
Ca 0.000 0.000 0.000
Y 0.000 0.000 3.773
Al 1.816 1.816 1.974
Hg 1.816 1.816 5.726

---

No. 2
12
Lattice="7.164 0.000 0.000 1.730 7.821 0.000 3.563 1.637 6.990" Properties=species:S:1:pos:R:3 comment="Pr4NdEr7 | the Alexandria database | GGA-PBE | optimized geometry" e_above_lowest_polymorph_ev_per_atom=0.000 dos_at_fermi_per_ev_cell=15.85 pbc="T T T"
Pr 1.773 2.877 1.185
Pr 5.337 3.684 4.644
Pr 7.120 5.775 2.346
Pr 10.684 6.581 5.805
Nd 3.582 0.000 0.000
Er 0.000 0.000 0.000
Er 3.532 5.775 2.316
Er 5.302 8.635 3.507
Er 7.108 6.589 5.834
Er 5.348 2.870 1.156
Er 7.155 0.823 3.483
Er 8.925 3.684 4.674

---

Size of the total moment (computed, μB/f.u.): 0.00 0.00